Record 1
DFT (PBE) results for a relaxed Li4SmAu4 crystal.

Values from the calculation:
E_form   -0.501 eV/atom
Mass density   10.20 Mg/m³

Cell: 8.2941 8.2941 4.5738 Å, 90.00 90.00 90.00°
Space group I4/m (No. 87)
Symmetry-distinct sites (fractional):
Li 0.0693 0.3680 0.0000 [8 per cell]
Sm 0.0000 0.0000 0.0000 [2 per cell]
Au 0.1326 0.2253 0.5000 [8 per cell]

---

Record 2
DFT (PBE) results for a relaxed Li2Sm3Au4 crystal.

Values from the calculation:
E_form   -0.653 eV/atom
Mass density   10.45 Mg/m³

Cell: 9.7763 4.8316 8.7896 Å, 90.00 106.54 90.00°
Space group C2/m (No. 12)
Symmetry-distinct sites (fractional):
Li 0.2030 0.0000 0.3747 [4 per cell]
Sm 0.0000 0.5000 0.0000 [2 per cell]
Sm 0.1323 0.0000 0.7138 [4 per cell]
Au 0.0751 0.5000 0.3726 [4 per cell]
Au 0.2122 0.0000 0.0799 [4 per cell]